1.
Ce2NbFeN5: optimized geometry, PBE.

Output
* SG: Cmc2_1, No. 36

abc: 3.276 6.980 10.099
angles: 90.00 90.00 103.57
Fractional positions:
Ce 0.883 0.765 0.194
Ce 0.865 0.731 0.829
Ce 0.117 0.235 0.694
Ce 0.135 0.269 0.329
Nb 0.803 0.605 0.524
Nb 0.197 0.395 0.024
N 0.026 0.051 0.009
N 0.496 0.993 0.775
N 0.342 0.684 0.009
N 0.679 0.358 0.874
N 0.321 0.642 0.374
N 0.700 0.399 0.166
N 0.300 0.601 0.666
N 0.504 0.007 0.275
N 0.974 0.949 0.509
N 0.658 0.316 0.509
Fe 0.453 0.907 0.443
Fe 0.547 0.093 0.943

***

2.
CeNb2FeN4: optimized geometry, PBE.

Output
* SG: Cmcm, No. 63

abc: 3.162 5.618 10.848
angles: 90.00 90.00 106.34
Fractional positions:
Nb 0.632 0.264 0.056
Nb 0.368 0.736 0.944
Nb 0.632 0.264 0.444
Nb 0.368 0.736 0.556
N 0.442 0.884 0.750
N 0.000 0.000 0.500
N 0.273 0.545 0.115
N 0.558 0.116 0.250
N 0.000 0.000 0.000
N 0.273 0.545 0.385
N 0.727 0.455 0.885
N 0.727 0.455 0.615
Ce 0.105 0.210 0.750
Ce 0.895 0.790 0.250
Fe 0.159 0.318 0.250
Fe 0.841 0.682 0.750

***

3.
CeNbFeN3: optimized geometry, PBE.

Output
* SG: P2_1/m, No. 11

abc: 3.163 6.833 7.220
angles: 103.93 90.00 90.00
Fractional positions:
Ce 0.250 0.184 0.211
Ce 0.750 0.816 0.789
Nb 0.250 0.663 0.153
Nb 0.750 0.337 0.847
N 0.250 0.815 0.511
N 0.750 0.432 0.150
N 0.250 0.120 0.868
N 0.250 0.568 0.850
N 0.750 0.880 0.132
N 0.750 0.185 0.489
Fe 0.750 0.893 0.401
Fe 0.250 0.107 0.599

***

4.
Ce2NdFeN4: optimized geometry, PBE.

Output
* SG: Cmcm, No. 63

abc: 3.534 6.056 11.644
angles: 90.00 90.00 106.96
Fractional positions:
Ce 0.632 0.264 0.445
Ce 0.632 0.264 0.055
Ce 0.368 0.736 0.555
Ce 0.368 0.736 0.945
N 0.442 0.884 0.750
N 0.734 0.469 0.622
N 0.000 0.000 0.000
N 0.734 0.469 0.878
N 0.000 0.000 0.500
N 0.266 0.531 0.122
N 0.266 0.531 0.378
N 0.558 0.116 0.250
Fe 0.161 0.323 0.250
Fe 0.839 0.677 0.750
Nd 0.899 0.799 0.250
Nd 0.101 0.201 0.750

***

5.
CeNpFeN4: optimized geometry, PBE.

Output
* SG: Cmcm, No. 63

abc: 5.212 5.211 6.628
angles: 90.00 113.15 90.00
Fractional positions:
N 0.560 0.250 0.119
N 0.440 0.750 0.881
N 0.921 0.250 0.843
N 0.500 0.500 0.500
N 0.000 0.500 0.500
N 0.079 0.750 0.157
N 0.500 0.000 0.500
N 0.000 0.000 0.500
Ce 0.892 0.750 0.785
Ce 0.108 0.250 0.215
Np 0.388 0.250 0.777
Np 0.612 0.750 0.223
Fe 0.763 0.250 0.527
Fe 0.237 0.750 0.473

***

6.
CeFe2PN: optimized geometry, PBE.

Output
* SG: Cmcm, No. 63

abc: 3.582 5.671 6.779
angles: 90.00 90.00 108.41
Fractional positions:
P 0.732 0.463 0.750
P 0.268 0.537 0.250
Fe 0.173 0.346 0.557
Fe 0.173 0.346 0.943
Fe 0.827 0.654 0.443
Fe 0.827 0.654 0.057
Ce 0.459 0.918 0.750
Ce 0.541 0.082 0.250
N 0.000 0.000 0.500
N 0.000 0.000 0.000

***

The records above yield N(E_F) values of 12.5; 8.9; 6.6; 6.7; 18.3; 10.6 states/eV/cell, respectively.
The records above yield energy relative to the elements, uncorrected values of -0.982; -1.007; -0.955; -1.111; -0.817; -0.948 eV per atom, respectively.